WICl2: relaxed, PBE-GGA.

Geometry as POSCAR:
```
WICl2
1.0
-5.660 -0.295 -4.429
4.335 -1.911 -5.413
-1.308 -5.789 -3.783
I W Cl
2 2 4
direct
0.500 0.500 0.000 I
0.250 0.750 0.500 I
0.750 0.250 0.500 W
0.000 0.000 0.000 W
0.784 0.125 0.250 Cl
0.375 0.216 0.750 Cl
0.966 0.625 0.250 Cl
0.875 0.034 0.750 Cl
```

Output
- N(E_F) (states/eV/atom) = 0.775
- symmetry = I-42d
- V (Å³/f.u.) = 125.86
- formation energy without anion corrections (eV per atom) = 0.405
- relative energy among the computed polymorphs (eV/f.u.) = 1.686